Entry 1:
YTmGaTc: optimized geometry, GGA-PBE.

Computed properties:
* calculated volume: 21.087 A^3/atom
* formation energy from the elements: -0.26 eV/atom
* calculated total energy: -6.343 eV/atom
* density of states at the Fermi level: 2.8 states/eV/cell

Cell and atoms, written as POSCAR:
```
YTmGaTc
1.0
-4.3421 0.1294 -2.3155
-0.5084 -2.1494 -4.3993
-2.6791 -4.1064 -0.4382
Ga Tm Y Tc
1 1 1 1
direct
0.0000 0.0000 0.0000 Ga
0.2500 0.2500 0.2500 Tm
0.7500 0.7500 0.7500 Y
0.5000 0.5000 0.5000 Tc
```

Entry 2:
U2Ga8Tc: optimized geometry, GGA-PBE.

Computed properties:
* calculated volume: 18.912 A^3/atom
* formation energy from the elements: -0.23 eV/atom
* calculated total energy: -5.429 eV/atom
* density of states at the Fermi level: 12.0 states/eV/cell

Cell and atoms, written as POSCAR:
```
U2Ga8Tc
1.0
-3.7300 2.2325 0.1512
-0.8594 -1.1579 -4.1037
-5.2225 -8.9713 3.6251
U Ga Tc
2 8 1
direct
0.0000 0.0000 0.3075 U
0.0000 0.0000 0.6925 U
0.5000 0.0000 0.8766 Ga
0.5000 0.5000 0.3099 Ga
0.0000 0.5000 0.8766 Ga
0.0000 0.5000 0.1234 Ga
0.0000 0.5000 0.5000 Ga
0.5000 0.5000 0.6901 Ga
0.5000 0.0000 0.5000 Ga
0.5000 0.0000 0.1234 Ga
0.0000 0.0000 0.0000 Tc
```

Entry 3:
UGaTc: optimized geometry, GGA-PBE.

Computed properties:
* calculated volume: 17.906 A^3/atom
* formation energy from the elements: -0.17 eV/atom
* calculated total energy: -8.395 eV/atom
* density of states at the Fermi level: 7.0 states/eV/cell
* distance to the lowest polymorph of the same formula: 0.030 eV/atom

Cell and atoms, written as POSCAR:
```
UGaTc
1.0
-3.3807 -4.5023 1.6631
0.0732 -1.5863 -4.1457
3.4061 -2.9906 -1.1726
Tc U Ga
2 2 2
direct
0.2500 0.6261 0.7477 Tc
0.7500 0.3739 0.2523 Tc
0.5000 0.0000 0.0000 U
0.0000 0.0000 0.0000 U
0.2500 0.3144 0.3713 Ga
0.7500 0.6856 0.6287 Ga
```

Entry 4:
UGa3Tc: optimized geometry, GGA-PBE.

Computed properties:
* calculated volume: 19.767 A^3/atom
* formation energy from the elements: 0.12 eV/atom
* calculated total energy: -6.030 eV/atom
* density of states at the Fermi level: 6.4 states/eV/cell

Cell and atoms, written as POSCAR:
```
UGa3Tc
1.0
3.1717 0.0000 -0.0001
0.0000 4.8748 0.0000
0.0002 0.0000 6.3923
Ga Tc U
3 1 1
direct
0.5000 0.0000 0.3015 Ga
0.5000 0.0000 0.6985 Ga
0.0000 0.5000 0.0000 Ga
0.0000 0.0000 0.0000 Tc
0.0000 0.5000 0.5000 U
```

Entry 5:
UGaTc: optimized geometry, GGA-PBE.

Computed properties:
* calculated volume: 17.815 A^3/atom
* formation energy from the elements: -0.20 eV/atom
* calculated total energy: -8.425 eV/atom
* density of states at the Fermi level: 8.8 states/eV/cell
* distance to the lowest polymorph of the same formula: 0.000 eV/atom

Cell and atoms, written as POSCAR:
```
UGaTc
1.0
-2.9110 -0.6036 4.9499
-0.9468 -4.6304 3.5102
3.3826 -1.6793 3.5495
Tc Ga U
2 2 2
direct
0.2316 0.0134 0.8939 Tc
0.6086 0.7421 0.4170 Tc
0.8506 0.6553 0.8683 Ga
0.9897 0.1002 0.4425 Ga
0.2648 0.4781 0.3486 U
0.5754 0.2774 0.9623 U
```

Entry 6:
U2Ga2Tc3: optimized geometry, GGA-PBE.

Computed properties:
* calculated volume: 17.177 A^3/atom
* formation energy from the elements: -0.10 eV/atom
* calculated total energy: -8.628 eV/atom
* density of states at the Fermi level: 10.0 states/eV/cell

Cell and atoms, written as POSCAR:
```
U2Ga2Tc3
1.0
-4.1811 0.8599 -0.4446
-1.2859 -4.6691 3.0623
2.2504 2.4075 4.2071
U Tc Ga
2 3 2
direct
0.8710 0.5804 0.7420 U
0.1290 0.4196 0.2580 U
0.7268 0.1617 0.4536 Tc
0.2732 0.8383 0.5464 Tc
0.0000 0.0000 0.0000 Tc
0.4247 0.2275 0.8494 Ga
0.5753 0.7725 0.1506 Ga
```

Q: Which value of calculated total energy does entry 5 give?
A: -8.425 eV/atom

Q: formation energy from the elements of number 3 (UGaTc)?
A: -0.17 eV/atom

Q: Which of these has the lowest calculated volume?
A: U2Ga2Tc3